Entry 1:
First-principles (GGA-PBE) data for a relaxed Y2ZnRe crystal, as listed in the Alexandria database.

Lattice parameters (Å, degrees): 4.8693 4.8693 4.8693 60.00 60.00 60.00
With the nearest neighbours (Å) after each atom.
Fractional coordinates of all 4 atoms:
Re: 0.5000 0.5000 0.5000  4 Zn 2.98, 4 Y 2.98
Y: 0.0000 0.0000 0.0000  4 Zn 2.98, 4 Y 2.98
Y: 0.7500 0.7500 0.7500  4 Re 2.98, 4 Y 2.98
Zn: 0.2500 0.2500 0.2500  4 Re 2.98, 4 Y 2.98

Summary:
Density = 8.7 g cm⁻³
Size of the total moment = 0.0 μB/cell
Calculated total energy = -25.4 eV per cell
DOS at the Fermi energy = 4.83 states/eV/f.u.
Formation energy = 0.32 eV/atom
V = 81.6 Å³/cell

Entry 2:
First-principles (GGA-PBE) data for a relaxed Li6ZnNi crystal, as listed in the Alexandria database.

Lattice parameters (Å, degrees): 3.8544 5.6900 5.6900 86.51 90.00 90.00
With the nearest neighbours (Å) after each atom.
Fractional coordinates of all 8 atoms:
Li: 0.5000 0.9057 0.0943  6 Li 2.63-2.86, 2 Ni 2.70
Li: 0.0000 0.6209 0.8732  2 Ni 2.70-2.99, 8 Li 2.72-2.98, 2 Zn 2.82
Li: 0.0000 0.6028 0.3972  8 Li 2.72-2.98, 2 Zn 2.77
Li: 0.5000 0.3652 0.1161  7 Li 2.63-2.89, 1 Zn 2.64, 2 Ni 2.78
Li: 0.0000 0.1268 0.3791  2 Ni 2.70-2.99, 8 Li 2.72-2.98, 2 Zn 2.82
Li: 0.5000 0.8839 0.6348  7 Li 2.63-2.89, 1 Zn 2.64, 2 Ni 2.78
Zn: 0.5000 0.3472 0.6528  2 Ni 2.48, 4 Li 2.64-2.77
Ni: 0.0000 0.1474 0.8526  2 Zn 2.48, 4 Li 2.70

Summary:
Density = 2.2 g cm⁻³
Size of the total moment = 0.0 μB/cell
Calculated total energy = -18.7 eV per cell
DOS at the Fermi energy = 3.97 states/eV/f.u.
Formation energy = -0.03 eV/atom
Relative energy among the computed polymorphs = 0 meV/atom
V = 124.6 Å³/cell

> Among the records above, which one has the highest formation energy?

Y2ZnRe